#a
Below is CeNdHo2 after structural relaxation, with properties calculated at the PBE level.

Results
Total magnetic moment, μB per atom: 0.198
Calculated volume, A^3/atom: 32.40

abc: 5.6802 5.6802 5.6802
angles: 60.00 60.00 60.00
Fractional coordinates of all 4 atoms:
Ce1 0.0000 0.0000 0.0000
Nd1 0.5000 0.5000 0.5000
Ho1 0.2500 0.2500 0.2500
Ho2 0.7500 0.7500 0.7500

***

#b
Below is CeNdHo2 after structural relaxation, with properties calculated at the PBE level.

Results
Total magnetic moment, μB per atom: 0.134
Calculated volume, A^3/atom: 31.53

abc: 11.6946 11.6946 11.6946
angles: 17.49 17.49 17.49
Fractional coordinates of all 4 atoms:
Ce1 0.0000 0.0000 0.0000
Nd1 0.8341 0.8341 0.8341
Ho1 0.4142 0.4142 0.4142
Ho2 0.5860 0.5860 0.5860

***

Which is the most stable structure? #b is the most stable.

***

#a
Below is CeNdHo2 after structural relaxation, with properties calculated at the PBE level.

Results
Total magnetic moment, μB per atom: 0.158
Calculated volume, A^3/atom: 31.80

abc: 5.0579 5.0579 4.9717
angles: 90.00 90.00 90.00
Fractional coordinates of all 4 atoms:
Ce1 0.0000 0.0000 0.0000
Nd1 0.5000 0.5000 0.0000
Ho1 0.0000 0.5000 0.5000
Ho2 0.5000 0.0000 0.5000

***

#b
Below is CeNdHo2 after structural relaxation, with properties calculated at the PBE level.

Results
Total magnetic moment, μB per atom: 0.157
Calculated volume, A^3/atom: 31.58

abc: 3.5580 3.5580 9.9789
angles: 90.00 90.00 90.00
Fractional coordinates of all 4 atoms:
Ce1 0.0000 0.0000 0.0000
Nd1 0.0000 0.0000 0.5000
Ho1 0.5000 0.5000 0.2401
Ho2 0.5000 0.5000 0.7599

***

Which is the most stable structure? #b is the most stable.

***

#a
Below is CeNdHo2 after structural relaxation, with properties calculated at the PBE level.

Results
Total magnetic moment, μB per atom: 0.163
Calculated volume, A^3/atom: 31.46

abc: 3.5663 3.5663 11.4204
angles: 90.00 90.00 120.00
Fractional coordinates of all 4 atoms:
Ce1 0.0000 0.0000 0.0000
Nd1 0.0000 0.0000 0.5000
Ho1 0.3333 0.6667 0.7562
Ho2 0.6667 0.3333 0.2438

***

#b
Below is CeNdHo2 after structural relaxation, with properties calculated at the PBE level.

Results
Total magnetic moment, μB per atom: 0.028
Calculated volume, A^3/atom: 31.68

abc: 12.4365 12.4365 12.4365
angles: 15.96 15.96 15.96
Fractional coordinates of all 4 atoms:
Ce1 0.0000 0.0000 0.0000
Nd1 0.5000 0.5000 0.5000
Ho1 0.4082 0.4082 0.4082
Ho2 0.5918 0.5918 0.5918

***

Which is the most stable structure? #a is the most stable.

***

#a
Below is CeNd12Ho7 after structural relaxation, with properties calculated at the PBE level.

Results
Total magnetic moment, μB per atom: 0.027
Calculated volume, A^3/atom: 34.16

abc: 9.5035 9.5035 9.5035
angles: 108.51 108.51 108.51
Fractional coordinates of all 20 atoms:
Ce1 0.0000 0.0000 0.0000
Nd1 0.0346 0.6977 0.1316
Nd2 0.1316 0.0346 0.6977
Nd3 0.1612 0.4170 0.6451
Nd4 0.3023 0.8684 0.9654
Nd5 0.3549 0.8388 0.5830
Nd6 0.4170 0.6451 0.1612
Nd7 0.5830 0.3549 0.8388
Nd8 0.6451 0.1612 0.4170
Nd9 0.6977 0.1316 0.0346
Nd10 0.8388 0.5830 0.3549
Nd11 0.8684 0.9654 0.3023
Nd12 0.9654 0.3023 0.8684
Ho1 0.1207 0.4099 0.2757
Ho2 0.2757 0.1207 0.4099
Ho3 0.4099 0.2757 0.1207
Ho4 0.5000 0.5000 0.5000
Ho5 0.5901 0.7243 0.8793
Ho6 0.7243 0.8793 0.5901
Ho7 0.8793 0.5901 0.7243

***

#b
Below is CeNd12Ho7 after structural relaxation, with properties calculated at the PBE level.

Results
Total magnetic moment, μB per atom: 0.010
Calculated volume, A^3/atom: 34.46

abc: 11.5154 11.5154 11.5154
angles: 116.85 116.85 116.85
Fractional coordinates of all 20 atoms:
Ce1 0.0000 0.0000 0.0000
Nd1 0.0712 0.4254 0.4254
Nd2 0.0876 0.5000 0.9124
Nd3 0.0876 0.9124 0.5000
Nd4 0.4254 0.0712 0.4254
Nd5 0.4254 0.4254 0.0712
Nd6 0.5000 0.0876 0.9124
Nd7 0.5000 0.9124 0.0876
Nd8 0.5746 0.5746 0.9288
Nd9 0.5746 0.9288 0.5746
Nd10 0.9124 0.0876 0.5000
Nd11 0.9124 0.5000 0.0876
Nd12 0.9288 0.5746 0.5746
Ho1 0.1192 0.1192 0.3611
Ho2 0.1192 0.3611 0.1192
Ho3 0.3611 0.1192 0.1192
Ho4 0.5000 0.5000 0.5000
Ho5 0.6389 0.8808 0.8808
Ho6 0.8808 0.6389 0.8808
Ho7 0.8808 0.8808 0.6389

***

Which is the most stable structure? #a is the most stable.

***

#a
Below is CeNd2Ho3 after structural relaxation, with properties calculated at the PBE level.

Results
Total magnetic moment, μB per atom: 0.121
Calculated volume, A^3/atom: 32.48

abc: 9.1808 9.1808 14.2625
angles: 118.22 118.22 21.71
Fractional coordinates of all 12 atoms:
Ce1 0.0500 0.0500 0.1104
Ce2 0.9500 0.9500 0.8896
Nd1 0.1536 0.1536 0.9606
Nd2 0.3237 0.3237 0.6237
Nd3 0.6763 0.6763 0.3763
Nd4 0.8464 0.8464 0.0394
Ho1 0.1004 0.1004 0.5296
Ho2 0.2412 0.2412 0.7942
Ho3 0.4596 0.4596 0.2939
Ho4 0.5404 0.5404 0.7061
Ho5 0.7588 0.7588 0.2058
Ho6 0.8996 0.8996 0.4704

***

#b
Below is CeNd2Ho3 after structural relaxation, with properties calculated at the PBE level.

Results
Total magnetic moment, μB per atom: 0.070
Calculated volume, A^3/atom: 32.67

abc: 6.9315 16.2178 3.4880
angles: 90.00 90.00 90.00
Fractional coordinates of all 12 atoms:
Ce1 0.0000 0.0000 0.0000
Ce2 0.5000 0.5000 0.5000
Nd1 0.2485 0.3424 0.0000
Nd2 0.2515 0.8424 0.5000
Nd3 0.7485 0.1576 0.5000
Nd4 0.7515 0.6576 0.0000
Ho1 0.0000 0.5000 0.5000
Ho2 0.2455 0.1511 0.5000
Ho3 0.2545 0.6511 0.0000
Ho4 0.5000 0.0000 0.0000
Ho5 0.7455 0.3489 0.0000
Ho6 0.7545 0.8489 0.5000

***

Which is the most stable structure? #a is the most stable.

***

#a
Below is CeNd2Ho2 after structural relaxation, with properties calculated at the PBE level.

Results
Total magnetic moment, μB per atom: 0.139
Calculated volume, A^3/atom: 34.34

abc: 8.9252 8.9252 8.9252
angles: 150.53 150.53 42.17
Fractional coordinates of all 5 atoms:
Ce1 0.0000 0.0000 0.0000
Nd1 0.4069 0.4069 0.0000
Nd2 0.5931 0.5931 0.0000
Ho1 0.2500 0.7500 0.5000
Ho2 0.7500 0.2500 0.5000

***

#b
Below is CeNd2Ho2 after structural relaxation, with properties calculated at the PBE level.

Results
Total magnetic moment, μB per atom: 0.268
Calculated volume, A^3/atom: 35.37

abc: 6.4099 6.4099 6.4099
angles: 123.05 123.05 84.79
Fractional coordinates of all 5 atoms:
Ce1 0.0000 0.0000 0.0000
Nd1 0.2500 0.7500 0.5000
Nd2 0.7500 0.2500 0.5000
Ho1 0.3456 0.3456 0.0000
Ho2 0.6544 0.6544 0.0000

***

Which is the most stable structure? #a is the most stable.

***

#a
Below is CeNd2Ho4 after structural relaxation, with properties calculated at the PBE level.

Results
Total magnetic moment, μB per atom: 0.130
Calculated volume, A^3/atom: 32.26

abc: 3.5943 3.5943 20.3024
angles: 95.10 95.10 59.93
Fractional coordinates of all 7 atoms:
Ce1 0.0000 0.0000 0.0000
Nd1 0.8186 0.8186 0.4256
Nd2 0.9086 0.9086 0.7143
Ho1 0.0978 0.0978 0.2796
Ho2 0.1957 0.1957 0.5709
Ho3 0.6260 0.6260 0.8584
Ho4 0.7199 0.7199 0.1415

***

#b
Below is CeNd2Ho4 after structural relaxation, with properties calculated at the PBE level.

Results
Total magnetic moment, μB per atom: 0.000
Calculated volume, A^3/atom: 36.24

abc: 9.3522 9.3522 9.3522
angles: 146.07 146.07 48.74
Fractional coordinates of all 7 atoms:
Ce1 0.0000 0.0000 0.0000
Nd1 0.3743 0.3743 0.0000
Nd2 0.6257 0.6257 0.0000
Ho1 0.0000 0.5000 0.5000
Ho2 0.1714 0.1714 0.0000
Ho3 0.5000 0.0000 0.5000
Ho4 0.8286 0.8286 0.0000

***

Which is the most stable structure? #a is the most stable.

***

#a
Below is Ce3HoNi8 after structural relaxation, with properties calculated at the PBE level.

Results
Total magnetic moment, μB per atom: 0.001
Calculated volume, A^3/atom: 15.41

abc: 8.7801 8.7801 8.7801
angles: 33.63 33.63 33.63
Fractional coordinates of all 12 atoms:
Ce1 0.0000 0.0000 0.0000
Ce2 0.1236 0.1236 0.1236
Ce3 0.4919 0.4919 0.4919
Ho1 0.6182 0.6182 0.6182
Ni1 0.0539 0.5584 0.5584
Ni2 0.0578 0.0578 0.5620
Ni3 0.0578 0.5620 0.0578
Ni4 0.3077 0.3077 0.3077
Ni5 0.5584 0.0539 0.5584
Ni6 0.5584 0.5584 0.0539
Ni7 0.5620 0.0578 0.0578
Ni8 0.8079 0.8079 0.8079

***

#b
Below is Ce3HoNi8 after structural relaxation, with properties calculated at the PBE level.

Results
Total magnetic moment, μB per atom: 0.000
Calculated volume, A^3/atom: 15.46

abc: 5.0466 5.0466 8.4127
angles: 90.00 90.00 120.00
Fractional coordinates of all 12 atoms:
Ce1 0.0000 0.0000 0.0000
Ce2 0.0000 0.0000 0.3844
Ce3 0.3333 0.6667 0.8917
Ho1 0.3333 0.6667 0.5139
Ni1 0.3406 0.1703 0.6976
Ni2 0.5024 0.0048 0.2026
Ni3 0.5024 0.4976 0.2026
Ni4 0.6667 0.3333 0.4498
Ni5 0.6667 0.3333 0.9545
Ni6 0.8297 0.1703 0.6976
Ni7 0.8297 0.6594 0.6976
Ni8 0.9952 0.4976 0.2026

***

Which is the most stable structure? #a is the most stable.

***

#a
Below is CeHoNiPt after structural relaxation, with properties calculated at the PBE level.

Results
Total magnetic moment, μB per atom: 0.121
Calculated volume, A^3/atom: 20.99

abc: 4.9149 4.9149 4.9149
angles: 60.00 60.00 60.00
Fractional coordinates of all 4 atoms:
Ce1 0.0000 0.0000 0.0000
Ho1 0.5000 0.5000 0.5000
Ni1 0.2500 0.2500 0.2500
Pt1 0.7500 0.7500 0.7500

***

#b
Below is CeHoNiPt after structural relaxation, with properties calculated at the PBE level.

Results
Total magnetic moment, μB per atom: 0.061
Calculated volume, A^3/atom: 21.46

abc: 4.3280 5.6570 5.6570
angles: 38.31 90.00 90.00
Fractional coordinates of all 4 atoms:
Ce1 0.0000 0.0000 0.0000
Ho1 0.5000 0.2754 0.2754
Ni1 0.5000 0.5452 0.5452
Pt1 0.0000 0.7188 0.7188

***

Which is the most stable structure? #b is the most stable.

***

#a
Below is CeHo2O after structural relaxation, with properties calculated at the PBE level.

Results
Total magnetic moment, μB per atom: 0.102
Calculated volume, A^3/atom: 22.79

abc: 9.5019 9.5019 9.5019
angles: 20.39 20.39 20.39
Fractional coordinates of all 4 atoms:
Ce1 0.0000 0.0000 0.0000
Ho1 0.1175 0.1175 0.1175
Ho2 0.8825 0.8825 0.8825
O1 0.5000 0.5000 0.5000

***

#b
Below is CeHo2O after structural relaxation, with properties calculated at the PBE level.

Results
Total magnetic moment, μB per atom: 0.159
Calculated volume, A^3/atom: 21.27

abc: 3.1307 3.1307 8.6816
angles: 90.00 90.00 90.00
Fractional coordinates of all 4 atoms:
Ce1 0.0000 0.0000 0.0000
Ho1 0.5000 0.5000 0.3228
Ho2 0.5000 0.5000 0.6772
O1 0.0000 0.0000 0.5000

***

Which is the most stable structure? #a is the most stable.

***

#a
Below is CeHoOs after structural relaxation, with properties calculated at the PBE level.

Results
Total magnetic moment, μB per atom: 0.244
Calculated volume, A^3/atom: 25.25

abc: 7.1114 7.1114 7.1114
angles: 152.66 152.66 39.05
Fractional coordinates of all 3 atoms:
Ce1 0.0000 0.0000 0.0000
Ho1 0.2557 0.2557 0.0000
Os1 0.6281 0.6281 0.0000

***

#b
Below is CeHoOs after structural relaxation, with properties calculated at the PBE level.

Results
Total magnetic moment, μB per atom: 0.201
Calculated volume, A^3/atom: 26.01

abc: 4.7967 4.7967 4.7967
angles: 60.00 60.00 60.00
Fractional coordinates of all 3 atoms:
Ce1 0.0000 0.0000 0.0000
Ho1 0.5000 0.5000 0.5000
Os1 0.7500 0.7500 0.7500

***

#c
Below is CeHoOs after structural relaxation, with properties calculated at the PBE level.

Results
Total magnetic moment, μB per atom: 0.068
Calculated volume, A^3/atom: 25.69

abc: 5.9066 4.3462 6.3348
angles: 90.00 108.62 90.00
Fractional coordinates of all 6 atoms:
Ce1 0.0065 0.2500 0.3314
Ce2 0.9935 0.7500 0.6686
Ho1 0.4263 0.7500 0.1918
Ho2 0.5737 0.2500 0.8082
Os1 0.1355 0.2500 0.9233
Os2 0.8645 0.7500 0.0767

***

#d
Below is CeHoOs after structural relaxation, with properties calculated at the PBE level.

Results
Total magnetic moment, μB per atom: 0.043
Calculated volume, A^3/atom: 24.28

abc: 4.4676 4.4676 4.2134
angles: 90.00 90.00 120.00
Fractional coordinates of all 3 atoms:
Ce1 0.0000 0.0000 0.0000
Ho1 0.3333 0.6667 0.4597
Os1 0.6667 0.3333 0.7571

***

Which is the most stable structure? #c is the most stable.

***

#a
Below is CeHo2Os after structural relaxation, with properties calculated at the PBE level.

Results
Total magnetic moment, μB per atom: 0.141
Calculated volume, A^3/atom: 26.84

abc: 6.3258 6.3258 9.2590
angles: 90.00 90.00 144.58
Fractional coordinates of all 8 atoms:
Ce1 0.0793 0.9207 0.7500
Ce2 0.9207 0.0793 0.2500
Ho1 0.3548 0.6452 0.5682
Ho2 0.3548 0.6452 0.9318
Ho3 0.6452 0.3548 0.0682
Ho4 0.6452 0.3548 0.4318
Os1 0.2652 0.7348 0.2500
Os2 0.7348 0.2652 0.7500

***

#b
Below is CeHo2Os after structural relaxation, with properties calculated at the PBE level.

Results
Total magnetic moment, μB per atom: 0.079
Calculated volume, A^3/atom: 25.25

abc: 11.0049 11.0049 11.0049
angles: 17.14 17.14 17.14
Fractional coordinates of all 4 atoms:
Ce1 0.0000 0.0000 0.0000
Ho1 0.1019 0.1019 0.1019
Ho2 0.8981 0.8981 0.8981
Os1 0.5000 0.5000 0.5000

***

Which is the most stable structure? #a is the most stable.